# 1
Compound: ScBeSb3
Source: Alexandria via LeMat-Bulk
Functional: GGA-PBE
Structure: optimized geometry

Properties
- space group = No. 221
- uncorrected formation energy (meV/atom) = 728
- energy relative to the lowest polymorph listed for this composition (eV/atom) = 0.4570
- Fermi-level density of states (states/eV/f.u.) = 3.62
- raw total energy (eV per atom) = -3.757
- crystal system = cubic

Cell lengths 5.434, 5.434, 5.434 Å; angles 90.00, 90.00, 90.00 degrees
Fractional coordinates of all 5 atoms:
Sc1 0.000 0.000 0.000
Sb1 0.000 0.500 0.000
Sb2 0.000 0.000 0.500
Sb3 0.500 0.000 0.000
Be1 0.500 0.500 0.500

---

# 2
Compound: ErLuAg2
Source: Alexandria via LeMat-Bulk
Functional: GGA-PBE
Structure: optimized geometry

Properties
- space group = No. 225
- energy relative to the lowest polymorph listed for this composition (eV/atom) = 0.0030
- Fermi-level density of states (states/eV/f.u.) = 2.53
- raw total energy (eV per atom) = -4.030
- crystal system = cubic

Cell lengths 5.070, 5.070, 5.070 Å; angles 60.00, 60.00, 60.00 degrees
Fractional coordinates of all 4 atoms:
Lu1 0.500 0.500 0.500
Ag1 0.250 0.250 0.250
Ag2 0.750 0.750 0.750
Er1 0.000 0.000 0.000

---

# 3
Compound: In2NiAs
Source: Alexandria via LeMat-Bulk
Functional: GGA-PBE
Structure: optimized geometry

Properties
- space group = No. 216
- Fermi-level density of states (states/eV/f.u.) = 3.71
- raw total energy (eV per atom) = -3.659
- crystal system = cubic

Cell lengths 4.847, 4.847, 4.847 Å; angles 60.00, 60.00, 60.00 degrees
Fractional coordinates of all 4 atoms:
As1 0.500 0.500 0.500
In1 0.000 0.000 0.000
In2 0.250 0.250 0.250
Ni1 0.750 0.750 0.750

---

# 4
Compound: LiNdCd2O4
Source: Alexandria via LeMat-Bulk
Functional: GGA-PBE
Structure: optimized geometry

Properties
- space group = No. 63
- uncorrected formation energy (meV/atom) = -1849
- raw total energy (eV per atom) = -5.392
- crystal system = orthorhombic

Cell lengths 3.376, 5.790, 11.263 Å; angles 90.00, 90.00, 106.95 degrees
Fractional coordinates of all 16 atoms:
Li1 0.847 0.695 0.750
Li2 0.153 0.305 0.250
Nd1 0.113 0.226 0.750
Nd2 0.887 0.774 0.250
Cd1 0.369 0.738 0.551
Cd2 0.631 0.262 0.051
Cd3 0.631 0.262 0.449
Cd4 0.369 0.738 0.949
O1 0.278 0.556 0.130
O2 0.722 0.444 0.630
O3 0.722 0.444 0.870
O4 0.278 0.556 0.370
O5 0.000 0.000 0.500
O6 0.000 0.000 0.000
O7 0.452 0.904 0.750
O8 0.548 0.096 0.250

---

# 5
Compound: CaAc4Se6
Source: Alexandria via LeMat-Bulk
Functional: GGA-PBE
Structure: optimized geometry

Properties
- space group = No. 167
- uncorrected formation energy (meV/atom) = -1887
- Fermi-level density of states (states/eV/f.u.) = 5.39
- raw total energy (eV per atom) = -5.463
- crystal system = trigonal

Cell lengths 8.684, 8.684, 8.684 Å; angles 89.53, 89.53, 90.47 degrees
Fractional coordinates of all 22 atoms:
Ca1 0.500 0.500 0.500
Ca2 0.000 0.000 0.000
Ac1 0.368 0.132 0.250
Ac2 0.868 0.250 0.368
Ac3 0.250 0.632 0.132
Ac4 0.250 0.250 0.750
Ac5 0.750 0.750 0.250
Ac6 0.750 0.368 0.868
Ac7 0.132 0.750 0.632
Ac8 0.632 0.868 0.750
Se1 0.687 0.062 0.082
Se2 0.082 0.313 0.062
Se3 0.582 0.438 0.187
Se4 0.938 0.082 0.687
Se5 0.562 0.187 0.582
Se6 0.187 0.418 0.438
Se7 0.813 0.582 0.562
Se8 0.438 0.813 0.418
Se9 0.062 0.918 0.313
Se10 0.418 0.562 0.813
Se11 0.918 0.687 0.938
Se12 0.313 0.938 0.918

---

# 6
Compound: RbLi2Pb
Source: Alexandria via LeMat-Bulk
Functional: GGA-PBE
Structure: optimized geometry

Properties
- space group = No. 123
- Fermi-level density of states (states/eV/f.u.) = 0.89
- raw total energy (eV per atom) = -2.189
- crystal system = tetragonal

Cell lengths 3.914, 3.914, 8.484 Å; angles 90.00, 90.00, 90.00 degrees
Fractional coordinates of all 4 atoms:
Pb1 0.500 0.500 0.000
Rb1 0.500 0.500 0.500
Li1 0.000 0.000 0.841
Li2 0.000 0.000 0.159

---

# 7
Compound: YSc5Bi6
Source: Alexandria via LeMat-Bulk
Functional: GGA-PBE
Structure: optimized geometry

Properties
- space group = No. 12
- Fermi-level density of states (states/eV/f.u.) = 2.62
- raw total energy (eV per atom) = -5.813
- crystal system = monoclinic

Cell lengths 7.458, 7.451, 7.454 Å; angles 60.01, 80.39, 70.48 degrees
Fractional coordinates of all 12 atoms:
Y1 0.000 0.000 0.000
Sc1 0.500 0.162 0.676
Sc2 0.000 0.332 0.337
Sc3 0.500 0.500 0.000
Sc4 0.000 0.668 0.663
Sc5 0.500 0.838 0.324
Bi1 0.743 0.086 0.342
Bi2 0.257 0.572 0.342
Bi3 0.252 0.259 0.000
Bi4 0.748 0.741 0.000
Bi5 0.743 0.428 0.658
Bi6 0.257 0.914 0.658

---

# 8
Compound: Nd4Sn2O
Source: Alexandria via LeMat-Bulk
Functional: GGA-PBE
Structure: optimized geometry

Properties
- space group = No. 11
- uncorrected formation energy (meV/atom) = -1256
- energy relative to the lowest polymorph listed for this composition (eV/atom) = 0.0000
- Fermi-level density of states (states/eV/f.u.) = 6.03
- raw total energy (eV per atom) = -5.832
- crystal system = monoclinic

Cell lengths 6.602, 6.894, 9.537 Å; angles 90.00, 110.52, 90.00 degrees
Fractional coordinates of all 14 atoms:
Nd1 0.533 0.495 0.293
Nd2 0.146 0.750 0.952
Nd3 0.854 0.250 0.048
Nd4 0.533 0.005 0.293
Nd5 0.936 0.250 0.659
Nd6 0.467 0.995 0.707
Nd7 0.467 0.505 0.707
Nd8 0.064 0.750 0.341
Sn1 0.691 0.750 0.029
Sn2 0.309 0.250 0.971
Sn3 0.163 0.250 0.403
Sn4 0.837 0.750 0.597
O1 0.302 0.750 0.212
O2 0.698 0.250 0.788

---

# 9
Compound: LaPbAu3
Source: Alexandria via LeMat-Bulk
Functional: GGA-PBE
Structure: optimized geometry

Properties
- space group = No. 221
- energy relative to the lowest polymorph listed for this composition (eV/atom) = 0.5971
- Fermi-level density of states (states/eV/f.u.) = 3.73
- raw total energy (eV per atom) = -3.628
- crystal system = cubic

Cell lengths 5.301, 5.301, 5.301 Å; angles 90.00, 90.00, 90.00 degrees
Fractional coordinates of all 5 atoms:
Pb1 0.000 0.000 0.000
Au1 0.000 0.500 0.000
Au2 0.000 0.000 0.500
Au3 0.500 0.000 0.000
La1 0.500 0.500 0.500

---

# 10
Compound: HgBi2Pb9
Source: Alexandria via LeMat-Bulk
Functional: GGA-PBE
Structure: optimized geometry

Properties
- space group = No. 123
- Fermi-level density of states (states/eV/f.u.) = 7.64
- raw total energy (eV per atom) = -3.432
- crystal system = tetragonal

Cell lengths 5.134, 5.134, 14.271 Å; angles 90.00, 90.00, 90.00 degrees
Fractional coordinates of all 12 atoms:
Hg1 0.000 0.000 0.000
Bi1 0.000 0.000 0.327
Bi2 0.000 0.000 0.673
Pb1 0.500 0.500 0.000
Pb2 0.500 0.500 0.333
Pb3 0.500 0.500 0.667
Pb4 0.500 0.000 0.164
Pb5 0.500 0.000 0.500
Pb6 0.500 0.000 0.836
Pb7 0.000 0.500 0.164
Pb8 0.000 0.500 0.500
Pb9 0.000 0.500 0.836

---

# 11
Compound: SnP2O7
Source: Alexandria via LeMat-Bulk
Functional: GGA-PBE
Structure: optimized geometry

Properties
- space group = No. 2
- uncorrected formation energy (meV/atom) = -2039
- energy relative to the lowest polymorph listed for this composition (eV/atom) = 0.0000
- Fermi-level density of states (states/eV/f.u.) = 0.00
- raw total energy (eV per atom) = -6.992
- crystal system = triclinic

Cell lengths 5.166, 6.872, 8.568 Å; angles 68.57, 89.25, 89.13 degrees
Fractional coordinates of all 20 atoms:
Sn1 0.244 0.215 0.733
Sn2 0.756 0.785 0.267
P1 0.250 0.114 0.162
P2 0.273 0.445 0.317
P3 0.727 0.555 0.683
P4 0.750 0.886 0.838
O1 0.175 0.283 0.482
O2 0.034 0.946 0.793
O3 0.091 0.633 0.241
O4 0.280 0.336 0.181
O5 0.320 0.160 0.980
O6 0.438 0.959 0.284
O7 0.448 0.489 0.673
O8 0.552 0.511 0.327
O9 0.562 0.041 0.716
O10 0.680 0.840 0.020
O11 0.720 0.664 0.819
O12 0.909 0.367 0.759
O13 0.966 0.054 0.207
O14 0.825 0.717 0.518

---

# 12
Compound: AcMg5Rh6
Source: Alexandria via LeMat-Bulk
Functional: GGA-PBE
Structure: optimized geometry

Properties
- space group = No. 65
- Fermi-level density of states (states/eV/f.u.) = 5.97
- raw total energy (eV per atom) = -5.154
- crystal system = orthorhombic

Cell lengths 4.523, 6.499, 7.188 Å; angles 90.00, 108.31, 90.00 degrees
Fractional coordinates of all 12 atoms:
Ac1 0.000 0.000 0.000
Rh1 0.830 0.740 0.658
Rh2 0.830 0.260 0.658
Rh3 0.500 0.269 0.000
Rh4 0.500 0.731 0.000
Rh5 0.170 0.740 0.342
Rh6 0.170 0.260 0.342
Mg1 0.667 0.500 0.335
Mg2 0.324 0.000 0.648
Mg3 0.000 0.500 0.000
Mg4 0.676 0.000 0.352
Mg5 0.333 0.500 0.665

---

# 13
Compound: NaTbInSn
Source: Alexandria via LeMat-Bulk
Functional: GGA-PBE
Structure: optimized geometry

Properties
- space group = No. 47
- energy relative to the lowest polymorph listed for this composition (eV/atom) = 0.0000
- Fermi-level density of states (states/eV/f.u.) = 1.67
- raw total energy (eV per atom) = -3.560
- crystal system = orthorhombic

Cell lengths 4.493, 4.678, 4.882 Å; angles 90.00, 90.00, 90.00 degrees
Fractional coordinates of all 4 atoms:
Na1 0.500 0.000 0.500
Tb1 0.500 0.500 0.000
In1 0.000 0.500 0.500
Sn1 0.000 0.000 0.000

---

# 14
Compound: SrCeSiO5
Source: Alexandria via LeMat-Bulk
Functional: GGA-PBE
Structure: optimized geometry

Properties
- space group = No. 15
- uncorrected formation energy (meV/atom) = -3108
- Fermi-level density of states (states/eV/f.u.) = 0.00
- raw total energy (eV per atom) = -7.837
- crystal system = monoclinic

Cell lengths 5.949, 5.949, 7.751 Å; angles 102.38, 102.38, 107.25 degrees
Fractional coordinates of all 16 atoms:
Sr1 0.342 0.658 0.250
Sr2 0.658 0.342 0.750
Ce1 0.000 0.000 0.500
Ce2 0.000 0.000 0.000
Si1 0.681 0.319 0.250
Si2 0.319 0.681 0.750
O1 0.089 0.911 0.250
O2 0.911 0.089 0.750
O3 0.890 0.326 0.136
O4 0.110 0.674 0.864
O5 0.674 0.110 0.364
O6 0.326 0.890 0.636
O7 0.739 0.590 0.400
O8 0.261 0.410 0.600
O9 0.410 0.261 0.100
O10 0.590 0.739 0.900

---

# 15
Compound: CdNi3N
Source: Alexandria via LeMat-Bulk
Functional: GGA-PBE
Structure: optimized geometry

Properties
- space group = No. 12
- uncorrected formation energy (meV/atom) = 96
- energy relative to the lowest polymorph listed for this composition (eV/atom) = 0.1606
- Fermi-level density of states (states/eV/f.u.) = 3.23
- raw total energy (eV per atom) = -5.221
- crystal system = monoclinic

Cell lengths 4.947, 4.949, 5.997 Å; angles 76.68, 104.50, 65.33 degrees
Fractional coordinates of all 10 atoms:
Ni1 0.912 0.631 0.070
Ni2 0.141 0.401 0.570
Ni3 0.412 0.131 0.070
Ni4 0.308 0.758 0.839
Ni5 0.516 0.503 0.301
Ni6 0.683 0.860 0.570
Cd1 0.756 0.247 0.797
Cd2 0.068 0.014 0.342
N1 0.734 0.722 0.301
N2 0.090 0.539 0.839

---

# 16
Compound: CaHoB12
Source: Alexandria via LeMat-Bulk
Functional: GGA-PBE
Structure: optimized geometry

Properties
- space group = No. 123
- Fermi-level density of states (states/eV/f.u.) = 1.17
- raw total energy (eV per atom) = -6.600
- crystal system = tetragonal

Cell lengths 4.115, 4.115, 8.236 Å; angles 90.00, 90.00, 90.00 degrees
Fractional coordinates of all 14 atoms:
Ca1 0.000 0.000 0.500
Ho1 0.000 0.000 0.000
B1 0.200 0.500 0.248
B2 0.200 0.500 0.752
B3 0.500 0.500 0.399
B4 0.500 0.500 0.901
B5 0.500 0.200 0.248
B6 0.500 0.200 0.752
B7 0.500 0.500 0.099
B8 0.500 0.500 0.601
B9 0.500 0.800 0.248
B10 0.500 0.800 0.752
B11 0.800 0.500 0.248
B12 0.800 0.500 0.752

---

# 17
Compound: Y2AgCl
Source: Alexandria via LeMat-Bulk
Functional: GGA-PBE
Structure: optimized geometry

Properties
- space group = No. 166
- uncorrected formation energy (meV/atom) = -709
- energy relative to the lowest polymorph listed for this composition (eV/atom) = 0.0551
- Fermi-level density of states (states/eV/f.u.) = 3.16
- raw total energy (eV per atom) = -5.116
- crystal system = trigonal

Cell lengths 4.138, 4.138, 7.111 Å; angles 73.07, 73.07, 60.07 degrees
Fractional coordinates of all 4 atoms:
Ag1 0.250 0.250 0.250
Cl1 0.750 0.750 0.750
Y1 0.002 0.002 0.993
Y2 0.498 0.498 0.507

---

# 18
Compound: TcGe3Pd
Source: Alexandria via LeMat-Bulk
Functional: GGA-PBE
Structure: optimized geometry

Properties
- space group = No. 221
- energy relative to the lowest polymorph listed for this composition (eV/atom) = 0.3773
- Fermi-level density of states (states/eV/f.u.) = 3.44
- raw total energy (eV per atom) = -5.494
- crystal system = cubic

Cell lengths 4.772, 4.772, 4.772 Å; angles 90.00, 90.00, 90.00 degrees
Fractional coordinates of all 5 atoms:
Ge1 0.000 0.500 0.000
Ge2 0.000 0.000 0.500
Ge3 0.500 0.000 0.000
Tc1 0.000 0.000 0.000
Pd1 0.500 0.500 0.500

---

# 19
Compound: YOs2O
Source: Alexandria via LeMat-Bulk
Functional: GGA-PBE
Structure: optimized geometry

Properties
- space group = No. 141
- uncorrected formation energy (meV/atom) = 115
- Fermi-level density of states (states/eV/f.u.) = 2.53
- raw total energy (eV per atom) = -8.355
- crystal system = tetragonal

Cell lengths 4.830, 4.830, 7.466 Å; angles 71.13, 71.13, 90.00 degrees
Fractional coordinates of all 8 atoms:
Y1 0.000 0.000 0.000
Y2 0.750 0.250 0.500
Os1 0.375 0.125 0.250
Os2 0.375 0.625 0.250
Os3 0.375 0.625 0.750
Os4 0.875 0.625 0.750
O1 0.500 0.500 0.000
O2 0.250 0.750 0.500

---

# 20
Compound: RbNa2IBr4
Source: Alexandria via LeMat-Bulk
Functional: GGA-PBE
Structure: optimized geometry

Properties
- space group = No. 15
- uncorrected formation energy (meV/atom) = -1178
- Fermi-level density of states (states/eV/f.u.) = 0.00
- raw total energy (eV per atom) = -2.659
- crystal system = monoclinic

Cell lengths 9.251, 9.251, 9.263 Å; angles 114.74, 114.74, 98.32 degrees
Fractional coordinates of all 16 atoms:
Rb1 0.000 0.500 0.000
Rb2 0.000 0.500 0.500
Na1 0.500 0.000 0.000
Na2 0.500 0.000 0.500
Na3 0.000 0.000 0.500
Na4 0.500 0.500 0.000
I1 0.500 0.500 0.500
I2 0.000 0.000 0.000
Br1 0.310 0.714 0.979
Br2 0.786 0.190 0.521
Br3 0.214 0.810 0.479
Br4 0.690 0.286 0.021
Br5 0.790 0.846 0.077
Br6 0.654 0.710 0.423
Br7 0.346 0.290 0.577
Br8 0.210 0.154 0.923

---

# 21
Compound: TlPd2Au4
Source: Alexandria via LeMat-Bulk
Functional: GGA-PBE
Structure: optimized geometry

Properties
- space group = No. 139
- Fermi-level density of states (states/eV/f.u.) = 4.08
- raw total energy (eV per atom) = -3.578
- crystal system = tetragonal

Cell lengths 3.946, 3.946, 10.117 Å; angles 101.25, 101.25, 90.00 degrees
Fractional coordinates of all 7 atoms:
Tl1 0.000 0.000 0.000
Pd1 0.638 0.638 0.275
Pd2 0.362 0.362 0.725
Au1 0.140 0.140 0.279
Au2 0.860 0.860 0.721
Au3 0.750 0.250 0.500
Au4 0.250 0.750 0.500

---

# 22
Compound: Tb3IrO6
Source: Alexandria via LeMat-Bulk
Functional: GGA-PBE
Structure: optimized geometry

Properties
- space group = No. 148
- uncorrected formation energy (meV/atom) = -2773
- energy relative to the lowest polymorph listed for this composition (eV/atom) = 0.0000
- Fermi-level density of states (states/eV/f.u.) = 0.00
- raw total energy (eV per atom) = -8.023
- crystal system = trigonal

Cell lengths 6.573, 6.573, 6.573 Å; angles 96.31, 96.31, 96.31 degrees
Last column: magnetic moment on the atom in μB.
Fractional coordinates of all 20 atoms:
Tb1 0.418 0.905 0.732  0.00
Tb2 0.905 0.732 0.418  0.00
Tb3 0.268 0.582 0.095  0.00
Tb4 0.732 0.418 0.905  0.00
Tb5 0.095 0.268 0.582  0.00
Tb6 0.582 0.095 0.268  0.00
Ir1 0.000 0.000 0.000  0.07
Ir2 0.500 0.500 0.500  0.00
O1 0.308 0.926 0.061  0.00
O2 0.074 0.939 0.692  0.00
O3 0.574 0.802 0.437  0.00
O4 0.939 0.692 0.074  0.00
O5 0.437 0.574 0.802  0.00
O6 0.198 0.563 0.426  0.00
O7 0.802 0.437 0.574  0.00
O8 0.563 0.426 0.198  0.00
O9 0.061 0.308 0.926  0.00
O10 0.426 0.198 0.563  0.00
O11 0.926 0.061 0.308  0.00
O12 0.692 0.074 0.939  0.00